## Li2AgH6Pd (PBE)

Data for crystalline Li2AgH6Pd at its relaxed geometry.

## Properties
Calculated total energy   -3.33 eV per atom

Cell lengths 4.9825, 5.0021, 5.0192 Å; angles 60.47, 60.62, 60.48 degrees
Last column: nearest neighbours and their distance in Å.
Space group P1 (No. 1)
Unique sites:
Li  0.0000  0.0000  0.0000 (multiplicity 1)  5 H 2.16-2.37
Li  0.4974  0.4739  0.5386 (multiplicity 1)  5 H 2.16-2.38
Ag  0.2481  0.2383  0.2686 (multiplicity 1)  6 H 1.89-1.93
H  0.0464  0.5316  0.9477 (multiplicity 1)  1 Pd 1.72, 1 Ag 1.89
H  0.4504  0.9453  0.5888 (multiplicity 1)  1 Pd 1.72, 1 Ag 1.89
H  0.5185  0.5004  0.0854 (multiplicity 1)  1 Pd 1.72
H  0.5628  0.0136  0.9673 (multiplicity 1)  1 Pd 1.71, 1 Ag 1.90
H  0.9340  0.4628  0.5702 (multiplicity 1)  1 Pd 1.71, 1 Ag 1.90
H  0.9770  0.9772  0.4514 (multiplicity 1)  1 Pd 1.72
Pd  0.7482  0.7384  0.7685 (multiplicity 1)  6 H 1.71-1.72